Record 1
In2Hg3: single point on PBEsol structure, SCAN.

Uncorrected energy: -271.195 eV for the cell shown

Lattice parameters (Å, degrees): 4.6688 4.6688 6.8360 90.00 90.00 120.00
Space group P-3m1 (No. 164)
Inequivalent atoms, fractional coordinates:
In  0.3333  0.6667  0.3227 [2 per cell]
Hg  0.0000  0.0000  0.5000 [1 per cell]
Hg  0.3333  0.6667  0.8780 [2 per cell]

=====

Record 2
Sr2HgRh2: single point on PBEsol structure, SCAN.

Uncorrected energy: -361.261 eV for the cell shown

Lattice parameters (Å, degrees): 5.7280 5.7280 7.8097 90.00 90.00 90.00
Space group I4/mmm (No. 139)
Inequivalent atoms, fractional coordinates:
Sr  0.0000  0.5000  0.2500 [4 per cell]
Hg  0.0000  0.0000  0.0000 [2 per cell]
Rh  0.0000  0.0000  0.3417 [4 per cell]

=====

Record 3
CuBiF3: single point on PBEsol structure, SCAN.

Uncorrected formation energy: -1.16 eV per atom

Lattice parameters (Å, degrees): 4.5259 4.5259 4.5259 90.00 90.00 90.00
Space group Pm-3m (No. 221)
Inequivalent atoms, fractional coordinates:
Cu  0.0000  0.0000  0.0000 [1 per cell]
Bi  0.5000  0.5000  0.5000 [1 per cell]
F  0.0000  0.5000  0.5000 [3 per cell]

=====

Record 4
CoCu2Au: single point on PBEsol structure, SCAN.

Uncorrected energy: -116.381 eV for the cell shown

Lattice parameters (Å, degrees): 2.6376 3.5536 5.3915 90.00 90.00 90.00
Space group Pmm2 (No. 25)
Inequivalent atoms, fractional coordinates:
Co  0.0000  0.0000  0.0000 [1 per cell]
Cu  0.0000  0.0000  0.4577 [1 per cell]
Cu  0.5000  0.5000  0.2270 [1 per cell]
Au  0.5000  0.5000  0.7326 [1 per cell]

=====

Record 5
Hf2ReTc: single point on PBEsol structure, SCAN.

Uncorrected energy: -934.238 eV for the cell shown

Lattice parameters (Å, degrees): 6.4577 6.4577 6.4577 90.00 90.00 90.00
Space group Fm-3m (No. 225)
Inequivalent atoms, fractional coordinates:
Hf  0.2500  0.2500  0.2500 [8 per cell]
Re  0.0000  0.0000  0.0000 [4 per cell]
Tc  0.0000  0.0000  0.5000 [4 per cell]

=====

Record 6
NbGe2PtRh: single point on PBEsol structure, SCAN.

Uncorrected energy: -170.835 eV for the cell shown

Lattice parameters (Å, degrees): 4.5685 4.5685 5.0519 90.00 90.00 90.00
Space group P4/mmm (No. 123)
Inequivalent atoms, fractional coordinates:
Nb  0.0000  0.0000  0.0000 [1 per cell]
Ge  0.0000  0.5000  0.5000 [2 per cell]
Pt  0.0000  0.0000  0.5000 [1 per cell]
Rh  0.5000  0.5000  0.0000 [1 per cell]

=====

Record 7
Mn2HgCl: single point on PBEsol structure, SCAN.

Uncorrected formation energy: -0.21 eV per atom

Lattice parameters (Å, degrees): 2.9947 4.4354 11.1293 90.00 90.00 90.00
Space group Imm2 (No. 44)
Inequivalent atoms, fractional coordinates:
Mn  0.0000  0.0000  0.0000 [2 per cell]
Mn  0.0000  0.5000  0.2959 [2 per cell]
Hg  0.0000  0.0000  0.4519 [2 per cell]
Cl  0.0000  0.5000  0.6825 [2 per cell]

=====

Record 8
Ag3RuSe: single point on PBEsol structure, SCAN.

Uncorrected formation energy: 1.34 eV per atom

Lattice parameters (Å, degrees): 4.9176 4.9176 4.9176 90.00 90.00 90.00
Space group Pm-3m (No. 221)
Inequivalent atoms, fractional coordinates:
Ag  0.0000  0.0000  0.5000 [3 per cell]
Ru  0.0000  0.0000  0.0000 [1 per cell]
Se  0.5000  0.5000  0.5000 [1 per cell]